{"formula": "Ac2Dy3Tl2", "functional": "GGA-PBE", "state": "optimized geometry", "magmom_total_mub_per_fu": 0.00, "e_tot_ev_per_cell": -27.9, "lattice_angstrom": [[4.7972, 0.0000, 0.0000], [-2.3986, 6.3856, -0.1052], [0.0000, -3.0627, 7.9606]], "species": ["Tl", "Ac", "Tl", "Dy", "Dy", "Dy", "Ac"], "fractional_positions": [[0.8443, 0.6886, 0.7832], [0.8596, 0.7192, 0.2116], [0.1557, 0.3114, 0.2168], [0.6271, 0.2542, 0.4416], [0.3729, 0.7458, 0.5584], [0.5000, 0.0000, 0.0000], [0.1404, 0.2808, 0.7884]]}



{"formula": "Ac2DyTl", "functional": "GGA-PBE", "state": "optimized geometry", "relative_energy_ev_per_atom": 0.0000, "magmom_total_mub_per_fu": 0.00, "e_tot_ev_per_cell": -15.6, "lattice_angstrom": [[-0.1679, 3.7097, 1.3791], [-1.5750, -1.3290, 3.3830], [8.7366, -0.9743, 3.6847]], "species": ["Dy", "Ac", "Ac", "Tl"], "fractional_positions": [[0.5000, 0.5000, 0.5000], [0.0000, 0.0000, 0.7659], [0.0000, 0.0000, 0.2341], [0.5000, 0.5000, 0.0000]]}



{"formula": "Ac3DyTl4", "functional": "GGA-PBE", "state": "optimized geometry", "relative_energy_ev_per_atom": 0.0000, "magmom_total_mub_per_fu": 0.00, "e_tot_ev_per_cell": -29.2, "lattice_angstrom": [[-1.9305, 1.5340, 3.1147], [1.1179, -3.0994, 2.2194], [13.9159, 8.2765, 4.5486]], "species": ["Ac", "Ac", "Tl", "Tl", "Dy", "Tl", "Ac", "Tl"], "fractional_positions": [[0.5000, 0.5000, 0.7634], [0.5000, 0.5000, 0.2366], [0.0000, 0.0000, 0.1037], [0.0000, 0.0000, 0.3671], [0.5000, 0.5000, 0.0000], [0.0000, 0.0000, 0.8963], [0.5000, 0.5000, 0.5000], [0.0000, 0.0000, 0.6329]]}



{"formula": "Ac5DyTl8", "functional": "GGA-PBE", "state": "optimized geometry", "magmom_total_mub_per_fu": 0.00, "e_tot_ev_per_cell": -48.2, "lattice_angstrom": [[8.5781, 0.0800, -0.1375], [-2.8272, 8.0992, 0.1375], [-2.9236, -4.0557, 6.9723]], "species": ["Tl", "Ac", "Tl", "Tl", "Ac", "Tl", "Ac", "Ac", "Tl", "Ac", "Tl", "Dy", "Tl", "Tl"], "fractional_positions": [[0.5901, 0.8959, 0.8756], [0.7569, 0.6509, 0.6321], [0.1244, 0.7145, 0.0203], [0.9797, 0.1041, 0.6942], [0.8939, 0.8751, 0.2431], [0.5973, 0.4097, 0.8665], [0.3679, 0.1249, 0.0188], [0.9812, 0.3491, 0.1061], [0.4568, 0.5903, 0.1876], [0.5000, 0.0000, 0.5000], [0.3058, 0.2855, 0.4099], [0.2500, 0.5000, 0.7500], [0.8124, 0.2693, 0.4027], [0.1335, 0.7307, 0.5432]]}